Record 1
This record from Alexandria describes a relaxed Al5Re4 crystal. The functional is GGA-PBE.

Values from the calculation:
Formation energy from the elements   -0.01 eV/atom

abc: 6.850 6.850 6.850
angles: 92.70 92.70 154.94
Atoms (fractional coordinates):
Al 0.000 0.000 0.000
Al 0.334 0.666 0.000
Al 0.666 0.334 0.000
Al 0.666 0.666 0.332
Al 0.334 0.334 0.668
Re 0.333 0.000 0.333
Re 0.667 0.000 0.667
Re 0.000 0.667 0.667
Re 0.000 0.333 0.333

***

Record 2
This record from Alexandria describes a relaxed Tb2PdSe crystal. The functional is GGA-PBE.

Values from the calculation:
Energy relative to the elements, uncorrected   -1.326 eV per atom
Polymorph energy (0 for the lowest one)   0.000 eV per atom

abc: 4.288 3.893 11.567
angles: 99.69 90.00 90.00
Atoms (fractional coordinates):
Tb 0.750 0.681 0.362
Tb 0.250 0.319 0.638
Tb 0.750 0.936 0.872
Tb 0.250 0.064 0.128
Pd 0.250 0.456 0.913
Pd 0.750 0.544 0.087
Se 0.250 0.192 0.384
Se 0.750 0.808 0.616

***

Record 3
This record from Alexandria describes a relaxed HfReTeN2 crystal. The functional is GGA-PBE.

Values from the calculation:
Energy relative to the elements, uncorrected   1.099 eV per atom
Polymorph energy (0 for the lowest one)   0.497 eV per atom

abc: 4.109 4.109 6.056
angles: 90.00 90.00 90.00
Site moments in Bohr magnetons follow the coordinates.
Atoms (fractional coordinates):
Re 0.500 0.500 0.500  3.44
Te 0.000 0.000 0.500  0.02
Hf 0.000 0.000 0.000  0.03
N 0.000 0.500 0.000  0.34
N 0.500 0.000 0.000  0.34

***

Record 4
This record from Alexandria describes a relaxed Ba4LiHo3Se8 crystal. The functional is GGA-PBE.

Values from the calculation:
Energy relative to the elements, uncorrected   -1.838 eV per atom

abc: 8.631 8.829 8.631
angles: 119.26 120.00 90.00
Atoms (fractional coordinates):
Ba 0.500 0.000 0.000
Ba 0.500 0.000 0.500
Ba 0.000 0.000 0.000
Ba 0.000 0.000 0.500
Li 0.000 0.500 0.000
Ho 0.500 0.500 0.000
Ho 0.500 0.500 0.500
Ho 0.000 0.500 0.500
Se 0.238 0.710 0.971
Se 0.238 0.710 0.477
Se 0.263 0.288 0.526
Se 0.733 0.710 0.971
Se 0.267 0.290 0.029
Se 0.737 0.712 0.474
Se 0.762 0.290 0.523
Se 0.762 0.290 0.029

***

Record 5
This record from Alexandria describes a relaxed Ti2NbIr2 crystal. The functional is GGA-PBE.

Values from the calculation:
Formation energy from the elements   -0.30 eV/atom
Polymorph energy (0 for the lowest one)   0.256 eV per atom

abc: 4.085 4.085 6.067
angles: 70.33 70.33 90.00
Atoms (fractional coordinates):
Nb 0.000 0.000 0.000
Ir 0.385 0.385 0.230
Ir 0.615 0.615 0.770
Ti 0.750 0.250 0.500
Ti 0.250 0.750 0.500

***

Record 6
This record from Alexandria describes a relaxed Zn3Cd2Au2 crystal. The functional is GGA-PBE.

Values from the calculation:
Formation energy from the elements   -0.10 eV/atom
Polymorph energy (0 for the lowest one)   0.038 eV per atom

abc: 3.214 6.613 6.988
angles: 116.84 103.30 90.00
Atoms (fractional coordinates):
Zn 0.000 0.500 0.000
Zn 0.790 0.385 0.579
Zn 0.210 0.615 0.421
Cd 0.145 0.973 0.289
Cd 0.855 0.027 0.711
Au 0.430 0.743 0.859
Au 0.570 0.257 0.141

***

Record 7
This record from Alexandria describes a relaxed MnInH crystal. The functional is GGA-PBE.

abc: 4.568 3.084 3.084
angles: 120.00 90.00 90.00
Site moments in Bohr magnetons follow the coordinates.
Atoms (fractional coordinates):
H 0.166 0.333 0.667  -0.04
Mn 0.167 0.000 0.000  2.88
In 0.667 0.667 0.333  -0.11

***

Record 8
This record from Alexandria describes a relaxed Th8IrPb2 crystal. The functional is GGA-PBE.

Values from the calculation:
Formation energy from the elements   -0.16 eV/atom

abc: 5.551 6.819 10.078
angles: 111.67 105.98 90.00
Atoms (fractional coordinates):
Th 0.413 0.556 0.825
Th 0.642 0.987 0.283
Th 0.777 0.677 0.554
Th 0.996 0.232 0.992
Th 0.223 0.323 0.446
Th 0.358 0.013 0.717
Th 0.587 0.444 0.175
Th 0.004 0.768 0.008
Ir 0.500 0.000 0.000
Pb 0.827 0.261 0.655
Pb 0.173 0.739 0.345

***

Record 9
This record from Alexandria describes a relaxed TbGe2Bi crystal. The functional is GGA-PBE.

Values from the calculation:
Formation energy from the elements   0.27 eV/atom
Polymorph energy (0 for the lowest one)   0.585 eV per atom

abc: 4.783 4.783 7.715
angles: 71.94 71.94 60.00
Atoms (fractional coordinates):
Ge 0.124 0.124 0.628
Ge 0.876 0.876 0.372
Tb 0.500 0.500 0.500
Bi 0.000 0.000 0.000

***

Record 10
This record from Alexandria describes a relaxed VB crystal. The functional is GGA-PBE.

Values from the calculation:
Formation energy from the elements   0.14 eV/atom

abc: 7.178 7.178 4.194
angles: 90.00 90.00 90.00
Atoms (fractional coordinates):
V 0.358 0.858 0.000
V 0.358 0.142 0.500
V 0.642 0.858 0.500
V 0.642 0.142 0.000
V 0.142 0.642 0.500
V 0.142 0.358 0.000
V 0.858 0.642 0.000
V 0.858 0.358 0.500
B 0.847 0.347 0.000
B 0.847 0.653 0.500
B 0.153 0.347 0.500
B 0.153 0.653 0.000
B 0.653 0.153 0.500
B 0.653 0.847 0.000
B 0.347 0.153 0.000
B 0.347 0.847 0.500

***

Record 11
This record from Alexandria describes a relaxed UTiAlMo crystal. The functional is GGA-PBE.

Values from the calculation:
Formation energy from the elements   -0.03 eV/atom

abc: 4.601 4.601 4.601
angles: 60.00 60.00 60.00
Atoms (fractional coordinates):
Mo 0.750 0.750 0.750
U 0.000 0.000 0.000
Al 0.500 0.500 0.500
Ti 0.250 0.250 0.250

***

Record 12
This record from Alexandria describes a relaxed BaAcMgGa crystal. The functional is GGA-PBE.

Values from the calculation:
Formation energy from the elements   -0.18 eV/atom

abc: 5.791 5.791 5.791
angles: 60.00 60.00 60.00
Atoms (fractional coordinates):
Mg 0.750 0.750 0.750
Ac 0.000 0.000 0.000
Ba 0.500 0.500 0.500
Ga 0.250 0.250 0.250

***

Number 1: volume 14.8 Å³ per atom, mass density 10991 kg/m³, E_tot -68.638 eV per cell. Number 2: volume 23.8 Å³ per atom, mass density 8782 kg/m³, E_tot -46.484 eV per cell. Number 3: volume 20.4 Å³ per atom, mass density 8450 kg/m³, E_tot -36.699 eV per cell. Number 4: volume 29.4 Å³ per atom, mass density 5942 kg/m³, E_tot -80.627 eV per cell. Number 5: volume 17.8 Å³ per atom, mass density 10690 kg/m³, E_tot -45.067 eV per cell. Number 6: volume 18.3 Å³ per atom, mass density 10569 kg/m³, E_tot -12.881 eV per cell. Number 7: volume 12.5 Å³ per atom, mass density 7533 kg/m³, E_tot -14.984 eV per cell. Number 8: volume 30.8 Å³ per atom, mass density 12079 kg/m³, E_tot -77.357 eV per cell. Number 9: volume 35.7 Å³ per atom, mass density 5970 kg/m³, E_tot -16.669 eV per cell. Number 10: volume 13.5 Å³ per atom, mass density 3796 kg/m³, E_tot -124.071 eV per cell. Number 11: volume 17.2 Å³ per atom, mass density 9858 kg/m³, E_tot -33.894 eV per cell. Number 12: volume 34.3 Å³ per atom, mass density 5542 kg/m³, E_tot -11.367 eV per cell.